AcLa3Pd: optimized geometry, PBE. Values from VASP.

Computed properties:
Symmetry: P6_3/mmc, No. 194
Total energy: -5.046 eV/atom
Distance to the lowest polymorph of the same formula: 0.000 eV per formula unit
Energy of formation: -5.294 kcal/mol of atoms

Cell and atoms, written as Quantum ESPRESSO input:
```
&SYSTEM
  ibrav = 0, nat = 10, ntyp = 3
/
ATOMIC_SPECIES
Ac 227.00 Ac.upf
La 138.91 La.upf
Pd 106.42 Pd.upf
ATOMIC_POSITIONS crystal
Ac 0.3333 0.6667 0.2500
Ac 0.6667 0.3333 0.7500
La 0.1797 0.3595 0.7500
La 0.1797 0.8203 0.7500
La 0.3595 0.1797 0.2500
La 0.6405 0.8203 0.7500
La 0.8203 0.1797 0.2500
La 0.8203 0.6405 0.2500
Pd 0.0000 0.0000 0.0000
Pd 0.0000 0.0000 0.5000
CELL_PARAMETERS angstrom
8.0340 0.0000 0.0000
-4.0170 6.9577 0.0000
0.0000 0.0000 6.4371
```



Ba2LaSe3: optimized geometry, PBE. Values from VASP.

Computed properties:
Symmetry: C2/m, No. 12
Total energy: -5.204 eV/atom
Formation energy from raw total energies: -2.00 eV per atom

Cell and atoms, written as Quantum ESPRESSO input:
```
&SYSTEM
  ibrav = 0, nat = 12, ntyp = 3
/
ATOMIC_SPECIES
Ba 137.33 Ba.upf
La 138.91 La.upf
Se 78.96 Se.upf
ATOMIC_POSITIONS crystal
Ba 0.0000 0.0000 0.0000
Ba 0.1627 0.8373 0.5000
Ba 0.5000 0.5000 0.5000
Ba 0.8373 0.1627 0.5000
La 0.3325 0.6675 0.0000
La 0.6675 0.3325 0.0000
Se 0.0778 0.4268 0.2324
Se 0.2729 0.2729 0.7715
Se 0.4268 0.0778 0.2324
Se 0.5732 0.9222 0.7676
Se 0.7271 0.7271 0.2285
Se 0.9222 0.5732 0.7676
CELL_PARAMETERS angstrom
3.9427 -6.8213 0.0000
3.9427 6.8213 0.0000
-2.6298 0.0000 7.4992
```



KMgZn3: optimized geometry, PBE. Values from VASP.

Computed properties:
Symmetry: Pm-3m, No. 221
Total energy: -0.992 eV/atom
Distance to the lowest polymorph of the same formula: 0.000 eV per formula unit
Energy of formation: 7.157 kcal/mol of atoms

Cell and atoms, written as Quantum ESPRESSO input:
```
&SYSTEM
  ibrav = 0, nat = 5, ntyp = 3
/
ATOMIC_SPECIES
K 39.10 K.upf
Mg 24.30 Mg.upf
Zn 65.41 Zn.upf
ATOMIC_POSITIONS crystal
K 0.0000 0.0000 0.0000
Mg 0.5000 0.5000 0.5000
Zn 0.0000 0.5000 0.5000
Zn 0.5000 0.0000 0.5000
Zn 0.5000 0.5000 0.0000
CELL_PARAMETERS angstrom
5.3161 0.0000 0.0000
0.0000 5.3161 0.0000
0.0000 0.0000 5.3161
```



Rb3Tl7Hg2: optimized geometry, PBE. Values from VASP.

Computed properties:
Symmetry: R-3m, No. 166
Total energy: -1.755 eV/atom
Energy of formation: -1.901 kcal/mol of atoms

Cell and atoms, written as Quantum ESPRESSO input:
```
&SYSTEM
  ibrav = 0, nat = 12, ntyp = 3
/
ATOMIC_SPECIES
Rb 85.47 Rb.upf
Tl 204.38 Tl.upf
Hg 200.59 Hg.upf
ATOMIC_POSITIONS crystal
Rb 0.0000 0.0000 0.0000
Rb 0.1417 0.1417 0.1417
Rb 0.8583 0.8583 0.8583
Tl 0.0746 0.5837 0.5837
Tl 0.4163 0.4163 0.9254
Tl 0.4163 0.9254 0.4163
Tl 0.5000 0.5000 0.5000
Tl 0.5837 0.0746 0.5837
Tl 0.5837 0.5837 0.0746
Tl 0.9254 0.4163 0.4163
Hg 0.3360 0.3360 0.3360
Hg 0.6640 0.6640 0.6640
CELL_PARAMETERS angstrom
3.4401 1.9861 10.4958
-3.4401 1.9861 10.4958
0.0000 -3.9722 10.4958
```



PuAgBi2: optimized geometry, PBE. Values from VASP.

Computed properties:
Symmetry: P4/mmm, No. 123
Total energy: -6.453 eV/atom
Distance to the lowest polymorph of the same formula: 0.000 eV per formula unit
Energy of formation: -5.000 kcal/mol of atoms

Cell and atoms, written as Quantum ESPRESSO input:
```
&SYSTEM
  ibrav = 0, nat = 4, ntyp = 3
/
ATOMIC_SPECIES
Pu 244.00 Pu.upf
Ag 107.87 Ag.upf
Bi 208.98 Bi.upf
ATOMIC_POSITIONS crystal
Pu 0.0000 0.0000 0.0000
Ag 0.5000 0.5000 0.0000
Bi 0.0000 0.5000 0.5000
Bi 0.5000 0.0000 0.5000
CELL_PARAMETERS angstrom
4.9398 0.0000 0.0000
0.0000 4.9398 0.0000
0.0000 0.0000 4.3520
```



Rb2PmI5: optimized geometry, PBE. Values from VASP.

Computed properties:
Symmetry: Pnma, No. 62
Total energy: -3.277 eV/atom
Distance to the lowest polymorph of the same formula: 0.000 eV per formula unit
Formation energy from raw total energies: -1.47 eV per atom

Cell and atoms, written as Quantum ESPRESSO input:
```
&SYSTEM
  ibrav = 0, nat = 32, ntyp = 3
/
ATOMIC_SPECIES
Rb 85.47 Rb.upf
Pm 145.00 Pm.upf
I 126.90 I.upf
ATOMIC_POSITIONS crystal
Rb 0.1706 0.0075 0.0778
Rb 0.1706 0.4925 0.0778
Rb 0.3294 0.5075 0.5778
Rb 0.3294 0.9925 0.5778
Rb 0.6706 0.0075 0.4222
Rb 0.6706 0.4925 0.4222
Rb 0.8294 0.5075 0.9222
Rb 0.8294 0.9925 0.9222
Pm 0.0060 0.2500 0.5767
Pm 0.4940 0.7500 0.0767
Pm 0.5060 0.2500 0.9233
Pm 0.9940 0.7500 0.4233
I 0.0112 0.2500 0.9141
I 0.0639 0.5471 0.6691
I 0.0639 0.9529 0.6691
I 0.1842 0.2500 0.3983
I 0.1998 0.7500 0.3570
I 0.3002 0.2500 0.8570
I 0.3158 0.7500 0.8983
I 0.4361 0.0471 0.1691
I 0.4361 0.4529 0.1691
I 0.4888 0.7500 0.4141
I 0.5112 0.2500 0.5859
I 0.5639 0.5471 0.8309
I 0.5639 0.9529 0.8309
I 0.6842 0.2500 0.1017
I 0.6998 0.7500 0.1430
I 0.8002 0.2500 0.6430
I 0.8158 0.7500 0.6017
I 0.9361 0.0471 0.3309
I 0.9361 0.4529 0.3309
I 0.9888 0.7500 0.0859
CELL_PARAMETERS angstrom
14.9631 0.0000 0.0000
0.0000 10.0408 0.0000
0.0000 0.0000 9.5259
```



Q: Which formula does entry 4 have?
A: Rb3Tl7Hg2